VASP calculation (PBE) on LaTb5Sm after structural relaxation.

Lattice parameters (Å, degrees): 5.788 7.894 7.894 66.63 68.49 68.49
Atoms (fractional coordinates):
La 0.000 0.000 0.000
Tb 0.500 0.180 0.820
Tb 0.500 0.820 0.180
Tb 0.748 0.252 0.252
Tb 0.252 0.748 0.748
Tb 0.000 0.500 0.500
Sm 0.500 0.500 0.500

E above lowest polymorph = 874 meV per atom
Calculated volume = 42.5 A^3/atom
Space group = Immm, No. 71
Density of states at the Fermi level = 1.582 states/eV/atom
Total moment = 0.0016 μB/atom